{
  "formula": "NaFeBr3",
  "functional": "PBE",
  "state": "relaxed",
  "crystal_system": "cubic",
  "final_energy_ev_per_atom": -2.7965,
  "sg": "No. 221",
  "e_form_raw_kj_per_mol_fu": 78.9,
  "polymorph_energy_ev_per_atom": 1.011,
  "lattice_angstrom": [[-3.055, -0.752, 4.283], [1.184, -5.180, -0.065], [4.184, 0.917, 3.145]],
  "species": ["Fe", "Na", "Br", "Br", "Br"],
  "fractional_positions": [[0.500, 0.500, 0.500], [0.000, 0.000, 0.000], [0.500, 0.000, 0.000], [0.000, 0.000, 0.500], [0.000, 0.500, 0.000]]
}